Entry from the Alexandria database: a geometry-optimized Ho2ReHg structure (PBE).

Computed properties:
DFT formation energy: -0.15 eV/atom
V: 22.8 Å³/atom

Unit cell a=3.483 b=3.483 c=7.524 alpha=90.00 beta=90.00 gamma=90.00
Space group P4/mmm (No. 123)
One atom of each set of equivalent atoms:
Ho 0.000 0.000 0.219 (multiplicity 2)
Re 0.500 0.500 0.000 (multiplicity 1)
Hg 0.500 0.500 0.500 (multiplicity 1)



Entry from the Alexandria database: a geometry-optimized HoHg2Rh structure (PBE).

Computed properties:
DFT formation energy: -0.30 eV/atom
V: 20.9 Å³/atom

Unit cell a=4.150 b=4.150 c=4.863 alpha=90.00 beta=90.00 gamma=90.00
Space group P4/mmm (No. 123)
One atom of each set of equivalent atoms:
Ho 0.000 0.000 0.000 (multiplicity 1)
Hg 0.000 0.500 0.500 (multiplicity 2)
Rh 0.500 0.500 0.000 (multiplicity 1)



Entry from the Alexandria database: a geometry-optimized Ho12Hg5Rh2 structure (PBE).

Computed properties:
DFT formation energy: -0.29 eV/atom
V: 29.7 Å³/atom

Unit cell a=16.384 b=7.631 c=9.338 alpha=90.00 beta=104.56 gamma=90.00
Space group C2/m (No. 12)
One atom of each set of equivalent atoms:
Ho 0.004 0.000 0.245 (multiplicity 4)
Ho 0.026 0.500 0.829 (multiplicity 4)
Ho 0.144 0.249 0.567 (multiplicity 8)
Ho 0.169 0.239 0.104 (multiplicity 8)
Hg 0.000 0.500 0.500 (multiplicity 2)
Hg 0.188 0.000 0.841 (multiplicity 4)
Hg 0.206 0.000 0.369 (multiplicity 4)
Rh 0.000 0.213 0.000 (multiplicity 4)



Entry from the Alexandria database: a geometry-optimized HoHgRh2 structure (PBE).

Computed properties:
DFT formation energy: -0.57 eV/atom
V: 18.0 Å³/atom

Unit cell a=4.370 b=4.370 c=3.770 alpha=90.00 beta=90.00 gamma=90.00
Space group P4/mmm (No. 123)
One atom of each set of equivalent atoms:
Ho 0.000 0.000 0.000 (multiplicity 1)
Hg 0.500 0.500 0.000 (multiplicity 1)
Rh 0.000 0.500 0.500 (multiplicity 2)



Entry from the Alexandria database: a geometry-optimized Ho2HgRh structure (PBE).

Computed properties:
DFT formation energy: -0.71 eV/atom
V: 22.7 Å³/atom
ΔE to the lowest computed polymorph: 0.000 eV/atom

Unit cell a=3.484 b=3.484 c=7.471 alpha=90.00 beta=90.00 gamma=90.00
Space group P4/mmm (No. 123)
One atom of each set of equivalent atoms:
Ho 0.000 0.000 0.220 (multiplicity 2)
Hg 0.500 0.500 0.500 (multiplicity 1)
Rh 0.500 0.500 0.000 (multiplicity 1)



Entry from the Alexandria database: a geometry-optimized Ho6Hg2Rh structure (PBE).

Computed properties:
DFT formation energy: -0.28 eV/atom
V: 29.1 Å³/atom

Unit cell a=5.052 b=7.066 c=14.667 alpha=90.00 beta=90.00 gamma=90.00
Space group Immm (No. 71)
One atom of each set of equivalent atoms:
Ho 0.000 0.235 0.000 (multiplicity 4)
Ho 0.000 0.256 0.343 (multiplicity 8)
Hg 0.000 0.500 0.167 (multiplicity 4)
Rh 0.000 0.500 0.500 (multiplicity 2)



Entry from the Alexandria database: a geometry-optimized HoHg2Rh structure (PBE).

Computed properties:
DFT formation energy: -0.47 eV/atom
V: 21.6 Å³/atom

Unit cell a=6.389 b=6.381 c=9.027 alpha=90.00 beta=110.30 gamma=90.00
Space group C2/m (No. 12)
One atom of each set of equivalent atoms:
Ho 0.149 0.000 0.295 (multiplicity 4)
Hg 0.146 0.500 0.289 (multiplicity 4)
Hg 0.250 0.250 0.000 (multiplicity 4)
Rh 0.000 0.250 0.500 (multiplicity 4)



Entry from the Alexandria database: a geometry-optimized Ho4HgRh3 structure (PBE).

Computed properties:
DFT formation energy: -0.75 eV/atom
V: 21.2 Å³/atom

Unit cell a=4.883 b=4.883 c=7.098 alpha=90.00 beta=90.00 gamma=90.00
Space group P4/mmm (No. 123)
One atom of each set of equivalent atoms:
Ho 0.000 0.500 0.238 (multiplicity 4)
Hg 0.000 0.000 0.500 (multiplicity 1)
Rh 0.000 0.000 0.000 (multiplicity 1)
Rh 0.500 0.500 0.000 (multiplicity 1)
Rh 0.500 0.500 0.500 (multiplicity 1)



Entry from the Alexandria database: a geometry-optimized Ho2Hg2Rh structure (PBE).

Computed properties:
DFT formation energy: -0.58 eV/atom
V: 22.7 Å³/atom

Unit cell a=3.439 b=3.439 c=19.226 alpha=90.00 beta=90.00 gamma=90.00
Space group I4/mmm (No. 139)
One atom of each set of equivalent atoms:
Ho 0.000 0.000 0.087 (multiplicity 4)
Hg 0.000 0.000 0.302 (multiplicity 4)
Rh 0.000 0.000 0.500 (multiplicity 2)



Entry from the Alexandria database: a geometry-optimized Ho5Hg4Rh structure (PBE).

Computed properties:
DFT formation energy: -0.56 eV/atom
V: 24.2 Å³/atom

Unit cell a=3.603 b=3.603 c=18.663 alpha=90.00 beta=90.00 gamma=90.00
Space group P4/mmm (No. 123)
One atom of each set of equivalent atoms:
Ho 0.000 0.000 0.000 (multiplicity 1)
Ho 0.000 0.000 0.206 (multiplicity 2)
Ho 0.000 0.000 0.414 (multiplicity 2)
Hg 0.500 0.500 0.103 (multiplicity 2)
Hg 0.500 0.500 0.306 (multiplicity 2)
Rh 0.500 0.500 0.500 (multiplicity 1)